(1)
# Nd3PbO6

Crystalline Nd3PbO6 at its relaxed geometry (PBE-GGA, Alexandria via LeMat-Bulk).

a = 5.911 Å, b = 7.512 Å, c = 7.512 Å
α = 102.74°, β = 90.00°, γ = 90.00°
Fractional positions:
O 0.696 0.323 0.355
Nd 0.975 0.090 0.307
Nd 0.420 0.400 0.600
O 0.687 0.900 0.424
Pb 0.986 0.167 0.833
O 0.187 0.424 0.900
O 0.196 0.677 0.645
O 0.696 0.645 0.677
Nd 0.975 0.693 0.910
Nd 0.475 0.910 0.693
O 0.687 0.576 0.100
Nd 0.920 0.600 0.400
Nd 0.475 0.307 0.090
O 0.120 0.776 0.224
O 0.620 0.224 0.776
O 0.196 0.355 0.323
O 0.243 0.013 0.987
O 0.187 0.100 0.576
O 0.743 0.987 0.013
Pb 0.486 0.833 0.167

Uncorrected formation energy   -2.728 eV/atom
Energy   -7.50 eV per atom
Excess energy over the best structure of this formula in the dataset   0.033 eV/atom
Spin magnetization   0.0 Bohr magnetons per cell
DOS(E_F)   3.17 states/eV/cell

(2)
# Ba2NaCa5

Crystalline Ba2NaCa5 at its relaxed geometry (PBE-GGA, Alexandria via LeMat-Bulk).

a = 5.745 Å, b = 5.745 Å, c = 11.999 Å
α = 103.85°, β = 103.85°, γ = 90.00°
Fractional positions:
Ca 0.613 0.113 0.226
Ba 0.746 0.746 0.492
Ca 0.387 0.887 0.774
Ba 0.254 0.254 0.508
Ca 0.113 0.613 0.226
Ca 0.500 0.500 0.000
Na 0.000 0.000 0.000
Ca 0.887 0.387 0.774

Energy   -1.84 eV per atom
Spin magnetization   0.0 Bohr magnetons per cell
DOS(E_F)   9.92 states/eV/cell

(3)
# LiPt3N

Crystalline LiPt3N at its relaxed geometry (PBE-GGA, Alexandria via LeMat-Bulk).

a = 4.229 Å, b = 4.229 Å, c = 4.229 Å
α = 90.00°, β = 90.00°, γ = 90.00°
Site moments in Bohr magnetons follow the coordinates.
Fractional positions:
Li 0.000 0.000 0.000  -0.02
Pt 0.500 0.000 0.000  0.45
Pt 0.000 0.500 0.000  0.60
Pt 0.000 0.000 0.500  0.41
N 0.500 0.500 0.500  0.99

Uncorrected formation energy   1.738 eV/atom
Energy   -3.93 eV per atom
Excess energy over the best structure of this formula in the dataset   1.538 eV/atom
Spin magnetization   2.7 Bohr magnetons per cell
DOS(E_F)   4.06 states/eV/cell

Question: The highest spin magnetization belongs to which entry?
Answer: LiPt3N

Question: Number 1 is which compound?
Answer: Nd3PbO6

Question: What is the spin magnetization in the second record?
Answer: 0.0 Bohr magnetons per cell